# 1
# TiBeCrFe2 GGA-PBE relaxed
data_TiBeCrFe2
_space_group_name_H-M_alt 'P 1'
_space_group_IT_number 1
_space_group_name_Hall 'P 1'
_cell_length_a 3.9172
_cell_length_b 3.9172
_cell_length_c 4.0862
_cell_angle_alpha 90.00
_cell_angle_beta 90.00
_cell_angle_gamma 90.00
loop_
_atom_site_label
_atom_site_type_symbol
_atom_site_fract_x
_atom_site_fract_y
_atom_site_fract_z
_atom_site_occupancy
Ti1 Ti 0.0000 0.0000 0.0000 1
Be1 Be 0.5000 0.5000 0.5000 1
Cr1 Cr 0.5000 0.5000 0.0000 1
Fe1 Fe 0.0000 0.5000 0.5000 1
Fe2 Fe 0.5000 0.0000 0.5000 1
# Crystal system   tetragonal
# Formation energy   0.4087 eV/atom
# Space group   P4/mmm (123)

---

# 2
# BeCrFeW GGA-PBE relaxed
data_BeCrFeW
_space_group_name_H-M_alt 'P 1'
_space_group_IT_number 1
_space_group_name_Hall 'P 1'
_cell_length_a 4.0752
_cell_length_b 4.0752
_cell_length_c 4.0752
_cell_angle_alpha 60.00
_cell_angle_beta 60.00
_cell_angle_gamma 60.00
loop_
_atom_site_label
_atom_site_type_symbol
_atom_site_fract_x
_atom_site_fract_y
_atom_site_fract_z
_atom_site_occupancy
Be1 Be 0.0000 0.0000 0.0000 1
Cr1 Cr 0.2500 0.2500 0.2500 1
Fe1 Fe 0.7500 0.7500 0.7500 1
W1 W 0.5000 0.5000 0.5000 1
# Crystal system   cubic
# Formation energy   0.0904 eV/atom
# Space group   F-43m (216)

---

# 3
# ZrBeCr2Fe GGA-PBE relaxed
data_ZrBeCr2Fe
_space_group_name_H-M_alt 'P 1'
_space_group_IT_number 1
_space_group_name_Hall 'P 1'
_cell_length_a 4.1756
_cell_length_b 4.1756
_cell_length_c 3.9738
_cell_angle_alpha 90.00
_cell_angle_beta 90.00
_cell_angle_gamma 90.00
loop_
_atom_site_label
_atom_site_type_symbol
_atom_site_fract_x
_atom_site_fract_y
_atom_site_fract_z
_atom_site_occupancy
Zr1 Zr 0.0000 0.0000 0.0000 1
Be1 Be 0.5000 0.5000 0.5000 1
Cr1 Cr 0.0000 0.5000 0.5000 1
Cr2 Cr 0.5000 0.0000 0.5000 1
Fe1 Fe 0.5000 0.5000 0.0000 1
# Crystal system   tetragonal
# Formation energy   0.4797 eV/atom
# Space group   P4/mmm (123)

---

- formation energy of number 1 (TiBeCrFe2)?
  0.4087 eV/atom

---

Please write out number 3 again, unchanged.
# ZrBeCr2Fe GGA-PBE relaxed
data_ZrBeCr2Fe
_space_group_name_H-M_alt 'P 1'
_space_group_IT_number 1
_space_group_name_Hall 'P 1'
_cell_length_a 4.1756
_cell_length_b 4.1756
_cell_length_c 3.9738
_cell_angle_alpha 90.00
_cell_angle_beta 90.00
_cell_angle_gamma 90.00
loop_
_atom_site_label
_atom_site_type_symbol
_atom_site_fract_x
_atom_site_fract_y
_atom_site_fract_z
_atom_site_occupancy
Zr1 Zr 0.0000 0.0000 0.0000 1
Be1 Be 0.5000 0.5000 0.5000 1
Cr1 Cr 0.0000 0.5000 0.5000 1
Cr2 Cr 0.5000 0.0000 0.5000 1
Fe1 Fe 0.5000 0.5000 0.0000 1
# Crystal system   tetragonal
# Formation energy   0.4797 eV/atom
# Space group   P4/mmm (123)

---

- Look up the formation energy of the third one.
  0.4797 eV/atom